The following is a PBE+U calculation of a relaxed structure of MnTlF3, from Alexandria via LeMat-Bulk.

Properties
Magnetization: 5.00 μB/f.u.
Crystal system: cubic
Raw total energy: -107.9 eV/cell
SG: No. 227

Cell lengths 7.952, 7.952, 7.952 Å; angles 60.00, 60.00, 60.00 degrees
Each line ends with the local moment (μB).
Fractional positions:
Tl: 0.625 0.625 0.625  0.01
Tl: 0.625 0.125 0.625  0.00
Tl: 0.125 0.625 0.625  0.00
Tl: 0.625 0.625 0.125  0.01
Mn: 0.125 0.125 0.125  4.70
Mn: 0.125 0.625 0.125  4.70
Mn: 0.625 0.125 0.125  4.70
Mn: 0.125 0.125 0.625  4.69
F: 0.801 0.199 0.199  0.04
F: 0.051 0.449 0.449  0.04
F: 0.449 0.449 0.051  0.04
F: 0.449 0.051 0.051  0.04
F: 0.051 0.449 0.051  0.04
F: 0.801 0.199 0.801  0.04
F: 0.449 0.051 0.449  0.04
F: 0.051 0.051 0.449  0.03
F: 0.199 0.801 0.199  0.04
F: 0.199 0.801 0.801  0.04
F: 0.199 0.199 0.801  0.03
F: 0.801 0.801 0.199  0.04